No. 1
Compound: RbInTeI2
Source: Alexandria
Functional: PBE
Structure: relaxed

Computed properties:
total DFT energy (no corrections)	-1.99	eV/atom
uncorrected formation energy	-0.003	eV/atom
Fermi-level density of states	5.67	states/eV/f.u.

abc: 6.8439 6.8439 6.6242
angles: 90.00 90.00 90.00
With the nearest neighbours (Å) after each atom.
Positions (direct):
I1 0.0000 0.5000 0.0000  2 Rb 3.42
I2 0.5000 0.0000 0.0000  2 Rb 3.42
Te1 0.0000 0.0000 0.5000  2 Rb 3.31
Rb1 0.0000 0.0000 0.0000  2 Te 3.31, 4 I 3.42
In1 0.5000 0.5000 0.5000  8 I 4.76, 4 Te 4.84



No. 2
Compound: Tc2Os
Source: Alexandria
Functional: PBE
Structure: relaxed

Computed properties:
total DFT energy (no corrections)	-10.57	eV/atom
Fermi-level density of states	2.14	states/eV/f.u.

abc: 4.3305 4.3305 5.4374
angles: 90.00 90.00 120.00
With the nearest neighbours (Å) after each atom.
Positions (direct):
Tc1 0.0000 0.0000 0.0000  8 Tc 2.72-2.85, 6 Os 2.85
Tc2 0.0000 0.0000 0.5000  8 Tc 2.72-2.85, 6 Os 2.85
Tc3 0.3333 0.6667 0.7500  5 Os 2.50-2.72
Tc4 0.6667 0.3333 0.2500  5 Os 2.50-2.72
Os1 0.3333 0.6667 0.2500  5 Tc 2.50-2.72
Os2 0.6667 0.3333 0.7500  5 Tc 2.50-2.72



No. 3
Compound: Tb4SiRh3
Source: Alexandria
Functional: PBE
Structure: relaxed

Computed properties:
total DFT energy (no corrections)	-6.57	eV/atom
uncorrected formation energy	-0.821	eV/atom
Fermi-level density of states	4.83	states/eV/f.u.

abc: 3.9580 4.1326 10.6683
angles: 90.00 90.00 90.00
With the nearest neighbours (Å) after each atom.
Positions (direct):
Rh1 0.0000 0.5000 0.5865  2 Rh 2.79, 7 Tb 2.87-3.11
Rh2 0.0000 0.0000 0.4114  2 Rh 2.79, 5 Tb 2.85-2.91
Rh3 0.5000 0.0000 0.9311  2 Si 2.54
Si1 0.5000 0.5000 0.0694  2 Rh 2.54
Tb1 0.5000 0.5000 0.3616  6 Rh 2.91-3.11, 1 Si 3.12
Tb2 0.0000 0.5000 0.8551  5 Rh 2.87-2.97, 2 Si 3.02
Tb3 0.0000 0.0000 0.1440  3 Rh 2.85-3.01, 4 Si 2.97
Tb4 0.5000 0.0000 0.6409  7 Rh 2.92-3.15



No. 4
Compound: CsPdF
Source: Alexandria
Functional: PBE
Structure: relaxed

Computed properties:
total DFT energy (no corrections)	-3.82	eV/atom
uncorrected formation energy	-1.176	eV/atom
Fermi-level density of states	0.00	states/eV/f.u.

abc: 9.5540 3.8750 8.7970
angles: 90.00 90.00 90.00
With the nearest neighbours (Å) after each atom.
Positions (direct):
Cs1 0.8298 0.2500 0.3465  3 F 2.98-3.17
Cs2 0.6702 0.7500 0.8465  3 F 2.98-3.17
Cs3 0.1702 0.7500 0.6535  3 F 2.98-3.17
Cs4 0.3298 0.2500 0.1535  3 F 2.98-3.17
Pd1 0.4722 0.2500 0.5939  1 F 2.12
Pd2 0.0278 0.7500 0.0939  1 F 2.12
Pd3 0.5278 0.7500 0.4061  1 F 2.12
Pd4 0.9722 0.2500 0.9061  1 F 2.12
F1 0.9087 0.2500 0.6746  1 Pd 2.12
F2 0.5913 0.7500 0.1746  1 Pd 2.12
F3 0.0913 0.7500 0.3254  1 Pd 2.12
F4 0.4087 0.2500 0.8254  1 Pd 2.12



No. 5
Compound: Th2Cd3Pd2
Source: Alexandria
Functional: PBE
Structure: relaxed

Computed properties:
total DFT energy (no corrections)	-4.46	eV/atom
Fermi-level density of states	3.97	states/eV/f.u.

abc: 4.2344 5.5897 7.5614
angles: 92.61 90.00 112.26
With the nearest neighbours (Å) after each atom.
Positions (direct):
Th1 0.6264 0.2528 0.3452  5 Pd 2.87-3.13
Th2 0.3736 0.7472 0.6548  5 Pd 2.87-3.13
Cd1 0.3196 0.6391 0.1259  2 Pd 2.89, 4 Cd 3.01-3.15
Cd2 0.0000 0.0000 0.0000  2 Pd 2.97, 4 Cd 3.01
Cd3 0.6804 0.3609 0.8741  2 Pd 2.89, 4 Cd 3.01-3.15
Pd1 0.0954 0.1908 0.6353  1 Pd 2.77, 3 Th 2.87-3.08, 3 Cd 2.89-2.97
Pd2 0.9046 0.8092 0.3647  1 Pd 2.77, 3 Th 2.87-3.08, 3 Cd 2.89-2.97



No. 6
Compound: HfBW3
Source: Alexandria
Functional: PBE
Structure: relaxed

Computed properties:
total DFT energy (no corrections)	-7.65	eV/atom
Fermi-level density of states	6.74	states/eV/f.u.

abc: 4.7764 4.7764 4.7764
angles: 90.00 90.00 90.00
With the nearest neighbours (Å) after each atom.
Positions (direct):
B1 0.5000 0.5000 0.5000  12 W 3.38
Hf1 0.0000 0.0000 0.0000  6 W 2.39
W1 0.0000 0.5000 0.0000  2 Hf 2.39
W2 0.0000 0.0000 0.5000  2 Hf 2.39
W3 0.5000 0.0000 0.0000  2 Hf 2.39



> Which formula does entry 1 have?

RbInTeI2



What did the second record say?
Compound: Tc2Os
Source: Alexandria
Functional: PBE
Structure: relaxed

Computed properties:
total DFT energy (no corrections)	-10.57	eV/atom
Fermi-level density of states	2.14	states/eV/f.u.

abc: 4.3305 4.3305 5.4374
angles: 90.00 90.00 120.00
With the nearest neighbours (Å) after each atom.
Positions (direct):
Tc1 0.0000 0.0000 0.0000  8 Tc 2.72-2.85, 6 Os 2.85
Tc2 0.0000 0.0000 0.5000  8 Tc 2.72-2.85, 6 Os 2.85
Tc3 0.3333 0.6667 0.7500  5 Os 2.50-2.72
Tc4 0.6667 0.3333 0.2500  5 Os 2.50-2.72
Os1 0.3333 0.6667 0.2500  5 Tc 2.50-2.72
Os2 0.6667 0.3333 0.7500  5 Tc 2.50-2.72



> The lowest Fermi-level density of states belongs to which entry?

CsPdF